# NaV2Ru2 (GGA-PBE, optimized geometry)
# energy of formation = 0.150 eV/atom
# DOS at the Fermi energy = 10.18 states/eV/cell
data_NaV2Ru2
_chemical_formula_sum 'Na2 V4 Ru4'
_symmetry_space_group_name_H-M 'P 4/m b m'
_symmetry_Int_Tables_number 127
_symmetry_space_group_name_Hall '-P 4 2ab'
_cell_length_a 7.445
_cell_length_b 7.445
_cell_length_c 2.797
_cell_angle_alpha 90.00
_cell_angle_beta 90.00
_cell_angle_gamma 90.00
loop_
_atom_site_label
_atom_site_type_symbol
_atom_site_fract_x
_atom_site_fract_y
_atom_site_fract_z
_atom_site_occupancy
Na1 Na 0.000 0.000 0.000 1
V1 V 0.141 0.359 0.000 1
Ru1 Ru 0.148 0.648 0.500 1